No. 1
A plane-wave DFT calculation with PBE-GGA was carried out for an optimized crystal structure of Ba2Tl8Pb.

Formation energy   -0.17 eV/atom
Fermi-level density of states   6.83 states/eV/cell

Cell lengths 5.2554, 5.2554, 13.7453 Å; angles 90.00, 90.00, 90.00 degrees
Last column: nearest neighbours and their distance in Å.
Atoms (fractional coordinates):
Ba  0.0000  0.0000  0.3119  12 Tl 3.56-3.73
Ba  0.0000  0.0000  0.6881  12 Tl 3.56-3.73
Tl  0.0000  0.5000  0.5000  8 Tl 3.46-3.72, 4 Ba 3.69
Tl  0.5000  0.0000  0.5000  8 Tl 3.46-3.72, 4 Ba 3.69
Tl  0.5000  0.5000  0.3361  8 Tl 3.46-3.79, 4 Ba 3.73
Tl  0.5000  0.5000  0.6639  8 Tl 3.46-3.79, 4 Ba 3.73
Tl  0.0000  0.5000  0.1373  2 Pb 3.23, 2 Ba 3.56
Tl  0.5000  0.0000  0.1373  2 Pb 3.23, 2 Ba 3.56
Tl  0.0000  0.5000  0.8627  2 Pb 3.23, 2 Ba 3.56
Tl  0.5000  0.0000  0.8627  2 Pb 3.23, 2 Ba 3.56
Pb  0.0000  0.0000  0.0000  8 Tl 3.23


No. 2
A plane-wave DFT calculation with PBE-GGA was carried out for an optimized crystal structure of BaTl6Pb2.

Formation energy   -0.10 eV/atom
Fermi-level density of states   10.05 states/eV/cell

Cell lengths 6.4898, 10.1147, 10.1147 Å; angles 117.00, 93.93, 93.93 degrees
Last column: nearest neighbours and their distance in Å.
Atoms (fractional coordinates):
Ba  0.2500  0.2496  0.7504  10 Tl 3.58-3.71, 4 Pb 3.98
Ba  0.7500  0.7504  0.2496  10 Tl 3.58-3.71, 4 Pb 3.98
Tl  0.4878  0.6685  0.5137  4 Tl 3.31-3.42, 3 Pb 3.38-3.62, 1 Ba 3.63
Tl  0.0122  0.4863  0.3315  4 Tl 3.31-3.42, 3 Pb 3.38-3.62, 1 Ba 3.63
Tl  0.5122  0.3315  0.4863  4 Tl 3.31-3.42, 3 Pb 3.38-3.62, 1 Ba 3.63
Tl  0.9878  0.5137  0.6685  4 Tl 3.31-3.42, 3 Pb 3.38-3.62, 1 Ba 3.63
Tl  0.2730  0.9088  0.4090  4 Tl 3.30-3.40, 2 Pb 3.44-3.45, 2 Ba 3.58-3.63
Tl  0.2270  0.5910  0.0912  4 Tl 3.30-3.40, 2 Pb 3.44-3.45, 2 Ba 3.58-3.63
Tl  0.7270  0.0912  0.5910  4 Tl 3.30-3.40, 2 Pb 3.44-3.45, 2 Ba 3.58-3.63
Tl  0.7730  0.4090  0.9088  4 Tl 3.30-3.40, 2 Pb 3.44-3.45, 2 Ba 3.58-3.63
Tl  0.0132  0.8309  0.9852  4 Tl 3.31-3.41, 3 Pb 3.37-3.64, 1 Ba 3.63
Tl  0.4868  0.0148  0.1691  4 Tl 3.31-3.41, 3 Pb 3.37-3.64, 1 Ba 3.63
Tl  0.9868  0.1691  0.0148  4 Tl 3.31-3.41, 3 Pb 3.37-3.64, 1 Ba 3.63
Tl  0.5132  0.9852  0.8309  4 Tl 3.31-3.41, 3 Pb 3.37-3.64, 1 Ba 3.63
Pb  0.4999  0.6567  0.8427  9 Tl 3.37-3.77
Pb  0.0001  0.1573  0.3433  9 Tl 3.37-3.77
Pb  0.5001  0.3433  0.1573  9 Tl 3.37-3.77
Pb  0.9999  0.8427  0.6567  9 Tl 3.37-3.77


No. 3
A plane-wave DFT calculation with PBE-GGA was carried out for an optimized crystal structure of BaTl10Pb2.

Formation energy   -0.07 eV/atom
Fermi-level density of states   7.54 states/eV/cell

Cell lengths 6.5880, 8.7899, 8.6745 Å; angles 81.82, 67.68, 67.99 degrees
Last column: nearest neighbours and their distance in Å.
Atoms (fractional coordinates):
Ba  0.0000  0.0000  0.0000  16 Tl 4.08-4.34, 4 Pb 4.39
Tl  0.3568  0.6426  0.6437  4 Tl 3.27-3.66, 2 Pb 3.50
Tl  0.6432  0.3574  0.3563  4 Tl 3.27-3.66, 2 Pb 3.50
Tl  0.9994  0.3574  0.6437  4 Tl 3.27-3.66, 2 Pb 3.50
Tl  0.0006  0.6426  0.3563  4 Tl 3.27-3.66, 2 Pb 3.50
Tl  0.0000  0.0000  0.5000  10 Tl 3.29-3.54
Tl  0.5000  0.0000  0.5000  10 Tl 3.29-3.54
Tl  0.2882  0.2119  0.2118  8 Tl 3.32-3.70, 2 Pb 3.33
Tl  0.7118  0.7881  0.7882  8 Tl 3.32-3.70, 2 Pb 3.33
Tl  0.5000  0.7881  0.2118  8 Tl 3.32-3.70, 2 Pb 3.33
Tl  0.5000  0.2119  0.7882  8 Tl 3.32-3.70, 2 Pb 3.33
Pb  0.0000  0.5000  0.0000  2 Pb 3.29, 8 Tl 3.33-3.50
Pb  0.5000  0.5000  0.0000  2 Pb 3.29, 8 Tl 3.33-3.50


No. 4
A plane-wave DFT calculation with PBE-GGA was carried out for an optimized crystal structure of Ba2TlPb3.

Formation energy   -0.38 eV/atom
Fermi-level density of states   7.44 states/eV/cell

Cell lengths 6.8146, 6.8146, 11.4185 Å; angles 112.51, 112.51, 73.55 degrees
Last column: nearest neighbours and their distance in Å.
Atoms (fractional coordinates):
Ba  0.7500  0.2500  0.5000  4 Tl 3.79, 8 Pb 3.79-3.93, 2 Ba 4.08
Ba  0.7495  0.2505  0.0000  10 Pb 3.77-3.93, 2 Tl 3.93, 2 Ba 4.07-4.09
Ba  0.2500  0.7500  0.5000  4 Tl 3.79, 8 Pb 3.79-3.93, 2 Ba 4.08
Ba  0.2505  0.7495  0.0000  10 Pb 3.77-3.93, 2 Tl 3.93, 2 Ba 4.07-4.09
Tl  0.6674  0.6674  0.3347  3 Pb 3.24-3.32
Tl  0.3326  0.3326  0.6653  3 Pb 3.24-3.32
Pb  0.8353  0.8353  0.1649  2 Pb 3.19-3.31, 1 Tl 3.24
Pb  0.6704  0.6704  0.8351  2 Pb 3.19-3.31, 1 Tl 3.24
Pb  0.1647  0.1647  0.8351  2 Pb 3.19-3.31, 1 Tl 3.24
Pb  0.3296  0.3296  0.1649  2 Pb 3.19-3.31, 1 Tl 3.24
Pb  0.1671  0.1671  0.3342  2 Pb 3.19, 1 Tl 3.32
Pb  0.8329  0.8329  0.6658  2 Pb 3.19, 1 Tl 3.32


No. 5
A plane-wave DFT calculation with PBE-GGA was carried out for an optimized crystal structure of Ba2Tl3Pb5.

Formation energy   -0.23 eV/atom
Fermi-level density of states   11.53 states/eV/cell

Cell lengths 7.2014, 10.7187, 10.7187 Å; angles 81.54, 70.37, 70.37 degrees
Last column: nearest neighbours and their distance in Å.
Atoms (fractional coordinates):
Ba  0.1259  0.6289  0.1193  8 Pb 3.90-4.36, 6 Tl 3.93-4.29
Ba  0.6259  0.1193  0.6289  8 Pb 3.90-4.36, 6 Tl 3.93-4.29
Ba  0.8741  0.3711  0.8807  8 Pb 3.90-4.36, 6 Tl 3.93-4.29
Ba  0.3741  0.8807  0.3711  8 Pb 3.90-4.36, 6 Tl 3.93-4.29
Tl  0.3783  0.4797  0.7637  5 Pb 3.07-3.23
Tl  0.8783  0.7637  0.4797  5 Pb 3.07-3.23
Tl  0.6217  0.5203  0.2363  5 Pb 3.07-3.23
Tl  0.1217  0.2363  0.5203  5 Pb 3.07-3.23
Tl  0.2500  0.0000  0.0000  4 Pb 3.21, 2 Tl 3.60
Tl  0.7500  0.0000  0.0000  4 Pb 3.21, 2 Tl 3.60
Pb  0.3746  0.2640  0.9867  3 Tl 3.07-3.21, 2 Pb 3.25
Pb  0.8746  0.9867  0.2640  3 Tl 3.07-3.21, 2 Pb 3.25
Pb  0.6254  0.7360  0.0133  3 Tl 3.07-3.21, 2 Pb 3.25
Pb  0.1254  0.0133  0.7360  3 Tl 3.07-3.21, 2 Pb 3.25
Pb  0.5045  0.7455  0.7455  2 Tl 3.23, 5 Pb 3.25-3.60
Pb  0.4955  0.2545  0.2545  2 Tl 3.23, 5 Pb 3.25-3.60
Pb  0.7500  0.5000  0.5000  4 Tl 3.21, 2 Pb 3.57
Pb  0.2500  0.5000  0.5000  4 Tl 3.21, 2 Pb 3.57
Pb  0.9955  0.2545  0.2545  2 Tl 3.23, 5 Pb 3.25-3.60
Pb  0.0045  0.7455  0.7455  2 Tl 3.23, 5 Pb 3.25-3.60


No. 6
A plane-wave DFT calculation with PBE-GGA was carried out for an optimized crystal structure of BaTlPb4.

Formation energy   -0.14 eV/atom
Fermi-level density of states   5.31 states/eV/cell

Cell lengths 6.1361, 6.1364, 12.2250 Å; angles 108.76, 108.76, 74.35 degrees
Last column: nearest neighbours and their distance in Å.
Atoms (fractional coordinates):
Ba  0.7499  0.7500  0.0000  2 Ba 3.71, 10 Pb 3.76-3.81
Ba  0.2501  0.2500  0.0000  2 Ba 3.71, 10 Pb 3.76-3.81
Tl  0.5000  0.0000  0.5000  10 Pb 3.41-3.55, 2 Tl 3.71
Tl  0.0000  0.5000  0.5000  10 Pb 3.41-3.55, 2 Tl 3.71
Pb  0.6530  0.1525  0.8045  1 Tl 3.41, 6 Pb 3.46-3.71, 4 Ba 3.76-3.78
Pb  0.8472  0.3476  0.1955  1 Tl 3.41, 6 Pb 3.46-3.71, 4 Ba 3.76-3.78
Pb  0.3470  0.8475  0.1955  1 Tl 3.41, 6 Pb 3.46-3.71, 4 Ba 3.76-3.78
Pb  0.1528  0.6524  0.8045  1 Tl 3.41, 6 Pb 3.46-3.71, 4 Ba 3.76-3.78
Pb  0.0807  0.0800  0.6596  7 Pb 3.46-3.71, 4 Tl 3.55, 1 Ba 3.81
Pb  0.4195  0.4199  0.3404  7 Pb 3.46-3.71, 4 Tl 3.55, 1 Ba 3.81
Pb  0.9193  0.9200  0.3404  7 Pb 3.46-3.71, 4 Tl 3.55, 1 Ba 3.81
Pb  0.5805  0.5801  0.6596  7 Pb 3.46-3.71, 4 Tl 3.55, 1 Ba 3.81


In μB/atom, the total magnetic moment values for the records above are, in order, 0.00 0.00 0.00 0.00 0.00 0.00.